No. 1
Here is Ba2AgAu2 after structural relaxation from Alexandria via LeMat-Bulk. Energies are from GGA-PBEsol.

Properties
Formation enthalpy at 0 K   -10.92 kcal/mol of atoms
Crystal system   tetragonal

a b c (Å): 4.424 8.153 8.153
angles (deg): 90.00 90.00 90.00
Positions (direct):
Ag1 0.000 0.000 0.000
Ag2 0.000 0.500 0.500
Au1 0.000 0.876 0.624
Au2 0.000 0.376 0.876
Au3 0.000 0.124 0.376
Au4 0.000 0.624 0.124
Ba1 0.500 0.176 0.676
Ba2 0.500 0.676 0.824
Ba3 0.500 0.324 0.176
Ba4 0.500 0.824 0.324

No. 2
Here is TmSnAu after structural relaxation from Alexandria via LeMat-Bulk. Energies are from GGA-PBEsol.

Properties
Formation enthalpy at 0 K   -20.49 kcal/mol of atoms
Crystal system   cubic

a b c (Å): 4.643 4.643 4.643
angles (deg): 60.00 60.00 60.00
Positions (direct):
Sn1 0.000 0.000 0.000
Au1 0.250 0.250 0.250
Tm1 0.500 0.500 0.500

No. 3
Here is LiV3P3O11 after structural relaxation from Alexandria via LeMat-Bulk. Energies are from GGA-PBEsol.

Properties
Raw formation energy   -2029.0 meV/atom
Crystal system   monoclinic

a b c (Å): 9.581 9.597 10.357
angles (deg): 60.64 90.00 90.00
Positions (direct):
P1 0.155 0.684 0.429
P2 0.050 0.840 0.764
P3 0.438 0.176 0.583
P4 0.062 0.676 0.083
P5 0.655 0.816 0.071
P6 0.562 0.824 0.417
P7 0.345 0.184 0.929
P8 0.950 0.160 0.236
P9 0.450 0.340 0.264
P10 0.550 0.660 0.736
P11 0.938 0.324 0.917
P12 0.845 0.316 0.571
O1 0.277 0.167 0.069
O2 0.723 0.833 0.931
O3 0.044 0.177 0.343
O4 0.478 0.495 0.272
O5 0.505 0.805 0.569
O6 0.995 0.683 0.437
O7 0.993 0.820 0.095
O8 0.005 0.695 0.931
O9 0.978 0.005 0.228
O10 0.544 0.323 0.157
O11 0.721 0.962 0.085
O12 0.279 0.197 0.572
O13 0.782 0.171 0.713
O14 0.777 0.333 0.431
O15 0.223 0.667 0.569
O16 0.493 0.680 0.405
O17 0.779 0.303 0.928
O18 0.011 0.517 0.207
O19 0.204 0.814 0.754
O20 0.456 0.677 0.843
O21 0.505 0.183 0.937
O22 0.511 0.983 0.293
O23 0.779 0.462 0.585
O24 0.718 0.671 0.213
O25 0.956 0.823 0.657
O26 0.282 0.329 0.787
O27 0.721 0.803 0.428
O28 0.522 0.505 0.728
O29 0.221 0.538 0.415
O30 0.495 0.817 0.063
O31 0.007 0.180 0.905
O32 0.704 0.686 0.746
O33 0.507 0.320 0.595
O34 0.489 0.017 0.707
O35 0.796 0.186 0.246
O36 0.218 0.829 0.287
O37 0.221 0.697 0.072
O38 0.279 0.038 0.915
O39 0.296 0.314 0.254
O40 0.022 0.995 0.772
O41 0.989 0.483 0.793
O42 0.995 0.305 0.069
O43 0.005 0.317 0.563
O44 0.495 0.195 0.431
V1 0.129 0.999 0.091
V2 0.371 0.499 0.591
V3 0.860 0.655 0.617
V4 0.145 0.186 0.738
V5 0.645 0.314 0.762
V6 0.629 0.501 0.409
V7 0.355 0.686 0.238
V8 0.855 0.814 0.262
V9 0.360 0.845 0.883
V10 0.140 0.345 0.383
V11 0.640 0.155 0.117
V12 0.871 0.001 0.909
Li1 0.317 0.089 0.269
Li2 0.183 0.589 0.769
Li3 0.683 0.911 0.731
Li4 0.817 0.411 0.231

No. 4
Here is Gd2TiZnO6 after structural relaxation from Alexandria via LeMat-Bulk. Energies are from GGA-PBEsol.

Properties
Raw formation energy   -3006.6 meV/atom
Crystal system   monoclinic

a b c (Å): 5.326 5.653 7.651
angles (deg): 90.00 90.60 90.00
Positions (direct):
O1 0.798 0.186 0.946
O2 0.111 0.540 0.743
O3 0.611 0.960 0.243
O4 0.202 0.814 0.054
O5 0.889 0.460 0.257
O6 0.298 0.314 0.446
O7 0.682 0.707 0.940
O8 0.182 0.793 0.440
O9 0.318 0.293 0.060
O10 0.818 0.207 0.560
O11 0.702 0.686 0.554
O12 0.389 0.040 0.757
Gd1 0.019 0.069 0.248
Gd2 0.981 0.931 0.752
Gd3 0.519 0.431 0.748
Gd4 0.481 0.569 0.252
Zn1 0.500 0.000 0.500
Zn2 0.000 0.500 0.000
Ti1 0.500 0.000 0.000
Ti2 0.000 0.500 0.500

Number 1: VASP energy -3.565 eV per atom. Number 2: VASP energy -5.249 eV per atom. Number 3: VASP energy -7.917 eV per atom. Number 4: VASP energy -10.036 eV per atom.